Rb4V3F10 | PBE with a Hubbard U | optimized geometry

Values from the calculation:
- spin magnetization (μB per cell) = 18.0
- total DFT energy (no corrections) (eV/atom) = -5.398

Structure (CIF):
```
data_Rb4V3F10
_symmetry_space_group_name_H-M 'I 4/m m m'
_symmetry_Int_Tables_number 139
_symmetry_space_group_name_Hall '-I 4 2'
_cell_length_a 4.268
_cell_length_b 4.268
_cell_length_c 31.115
_cell_angle_alpha 90.00
_cell_angle_beta 90.00
_cell_angle_gamma 90.00
loop_
_atom_site_label
_atom_site_fract_x
_atom_site_fract_y
_atom_site_fract_z
_atom_site_occupancy
Rb1 0.000 0.000 0.068 1
Rb2 0.000 0.000 0.203 1
V1 0.000 0.000 0.362 1
V2 0.000 0.000 0.500 1
F1 0.000 0.000 0.294 1
F2 0.000 0.000 0.431 1
F3 0.000 0.500 0.000 1
F4 0.000 0.500 0.137 1
```